Record 1
Compound: RbSe2S
Source: the Alexandria database
Functional: PBE-GGA
Structure: relaxed

Properties
Density of states at the Fermi level: 1.98 states/eV/f.u.
Space-group type: No. 166
Energy relative to the elements, uncorrected: 0.825 eV per formula unit

```
RbSe2S
1.0
2.3306 0.0000 9.1994
-1.1653 2.0184 9.1994
-1.1653 -2.0184 9.1994
Rb Se S
1 2 1
direct
0.0000 0.0000 0.0000 Rb
0.8804 0.8804 0.8804 Se
0.1196 0.1196 0.1196 Se
0.5000 0.5000 0.5000 S
```

***

Record 2
Compound: TaIn2Tc
Source: the Alexandria database
Functional: PBE-GGA
Structure: relaxed

Properties
Density of states at the Fermi level: 2.82 states/eV/f.u.
DFT formation energy: 476 meV per atom
Space-group type: No. 123
Relative energy among the computed polymorphs: 9.17 kcal/mol of atoms

```
TaIn2Tc
1.0
-1.8354 4.5915 0.5763
-4.5221 -1.6481 -1.2715
-0.5975 -0.6038 2.9079
Tc In Ta
1 2 1
direct
0.0000 0.5000 0.5000 Tc
0.5000 0.5000 0.0000 In
0.0000 0.0000 0.0000 In
0.5000 0.0000 0.5000 Ta
```

***

Record 3
Compound: La3Tm4Tl
Source: the Alexandria database
Functional: PBE-GGA
Structure: relaxed

Properties
Density of states at the Fermi level: 10.46 states/eV/f.u.
DFT formation energy: -47 meV per atom
Space-group type: No. 31

```
La3Tm4Tl
1.0
6.2363 0.0000 0.0000
0.0000 7.1537 0.0000
0.0000 0.0000 11.3603
Tm La Tl
8 6 2
direct
0.1480 0.6283 0.5000 Tm
0.1631 0.1328 0.0000 Tm
0.4751 0.6164 0.7406 Tm
0.9751 0.3836 0.2406 Tm
0.4751 0.6164 0.2594 Tm
0.6480 0.3717 0.0000 Tm
0.6631 0.8672 0.5000 Tm
0.9751 0.3836 0.7594 Tm
0.1216 0.1353 0.5000 La
0.4850 0.1386 0.7302 La
0.4850 0.1386 0.2698 La
0.9850 0.8614 0.2302 La
0.9850 0.8614 0.7698 La
0.6216 0.8647 0.0000 La
0.1624 0.5941 0.0000 Tl
0.6624 0.4059 0.5000 Tl
```

***

Record 4
Compound: TmScZn4
Source: the Alexandria database
Functional: PBE-GGA
Structure: relaxed

Properties
Density of states at the Fermi level: 3.79 states/eV/f.u.
DFT formation energy: -363 meV per atom
Space-group type: No. 71
Relative energy among the computed polymorphs: 0.00 kcal/mol of atoms

```
TmScZn4
1.0
4.0960 0.0000 1.6480
1.6694 4.9430 1.7649
0.1671 -0.2657 5.4988
Zn Sc Tm
4 1 1
direct
0.3337 0.9233 0.4093 Zn
0.6663 0.5907 0.0767 Zn
0.3337 0.4093 0.9233 Zn
0.6663 0.0767 0.5907 Zn
0.0000 0.0000 0.0000 Sc
0.0000 0.5000 0.5000 Tm
```